[1]
VASP calculation (PBE-GGA) on a geometry-optimized TbPaIrAu structure.

abc: 4.997 4.997 4.997
angles: 60.00 60.00 60.00
Positions (direct):
Tb 0.000 0.000 0.000
Pa 0.500 0.500 0.500
Ir 0.250 0.250 0.250
Au 0.750 0.750 0.750

space-group type: No. 216
final energy: -28.5 eV for the cell shown
ΔE_f: -560 meV/atom


[2]
VASP calculation (PBE-GGA) on a geometry-optimized ThPaIrAu structure.

abc: 5.075 5.075 5.075
angles: 60.00 60.00 60.00
Positions (direct):
Th 0.000 0.000 0.000
Pa 0.500 0.500 0.500
Ir 0.250 0.250 0.250
Au 0.750 0.750 0.750

space-group type: No. 216
final energy: -31.0 eV for the cell shown
ΔE_f: -481 meV/atom


[3]
VASP calculation (PBE-GGA) on a geometry-optimized TmPaIrAu structure.

abc: 4.964 4.964 4.964
angles: 60.00 60.00 60.00
Positions (direct):
Tm 0.000 0.000 0.000
Pa 0.500 0.500 0.500
Ir 0.750 0.750 0.750
Au 0.250 0.250 0.250

space-group type: No. 216
final energy: -28.5 eV for the cell shown
ΔE_f: -603 meV/atom


[4]
VASP calculation (PBE-GGA) on a geometry-optimized YPaIrAu structure.

abc: 4.996 4.996 4.996
angles: 60.00 60.00 60.00
Positions (direct):
Y 0.000 0.000 0.000
Pa 0.500 0.500 0.500
Ir 0.750 0.750 0.750
Au 0.250 0.250 0.250

space-group type: No. 216
final energy: -30.3 eV for the cell shown
ΔE_f: -557 meV/atom


[5]
VASP calculation (PBE-GGA) on a geometry-optimized PaZnIrAu structure.

abc: 4.777 4.777 4.777
angles: 60.00 60.00 60.00
Positions (direct):
Pa 0.000 0.000 0.000
Zn 0.500 0.500 0.500
Ir 0.250 0.250 0.250
Au 0.750 0.750 0.750

space-group type: No. 216
final energy: -24.5 eV for the cell shown
ΔE_f: -389 meV/atom


[6]
VASP calculation (PBE-GGA) on a geometry-optimized IrPbAu2 structure.

abc: 9.986 9.986 9.986
angles: 17.58 17.58 17.58
Positions (direct):
Ir 0.000 0.000 0.000
Pb 0.500 0.500 0.500
Au 0.259 0.259 0.259
Au 0.741 0.741 0.741

space-group type: No. 166
final energy: -17.3 eV for the cell shown
ΔE_f: 452 meV/atom